# ZnNiO2 | the Alexandria database | GGA-PBEsol | relaxed
# crystal system: trigonal
# ΔE_f (raw): -87.4 kJ/mol of atoms
data_ZnNiO2
_chemical_formula_sum 'Zn3 Ni3 O6'
_space_group_name_H-M_alt 'R -3 m'
_space_group_IT_number 166
_space_group_name_Hall '-R 3 2"'
_cell_length_a 2.9822
_cell_length_b 2.9822
_cell_length_c 14.4598
_cell_angle_alpha 90.00
_cell_angle_beta 90.00
_cell_angle_gamma 120.00
loop_
_atom_site_label
_atom_site_type_symbol
_atom_site_fract_x
_atom_site_fract_y
_atom_site_fract_z
Zn1 Zn 0.0000 0.0000 0.0000
Ni1 Ni 0.0000 0.0000 0.5000
O1 O 0.0000 0.0000 0.2477